[1]
Entry from the Alexandria database: crystalline Cr2InCo2 at its relaxed geometry (PBE).

Geometry as CIF:
```
data_Cr2InCo2
_chemical_formula_sum 'Cr4 In2 Co4'
_cell_length_a 7.001
_cell_length_b 7.001
_cell_length_c 2.657
_cell_angle_alpha 90.00
_cell_angle_beta 90.00
_cell_angle_gamma 90.00
_space_group_name_H-M_alt 'P 4/m b m'
_space_group_IT_number 127
_space_group_name_Hall '-P 4 2ab'
loop_
_atom_site_label
_atom_site_fract_x
_atom_site_fract_y
_atom_site_fract_z
Cr1 0.166 0.334 0.000
In1 0.000 0.000 0.500
Co1 0.123 0.623 0.500
```

Output
* electronic total energy: -69.54 eV for the cell shown
* energy relative to the lowest polymorph listed for this composition: 0.00 eV/f.u.

[2]
Entry from the Alexandria database: crystalline YNiAu at its relaxed geometry (PBE).

Geometry as CIF:
```
data_YNiAu
_chemical_formula_sum 'Y2 Ni2 Au2'
_cell_length_a 4.773
_cell_length_b 3.845
_cell_length_c 6.466
_cell_angle_alpha 90.00
_cell_angle_beta 90.00
_cell_angle_gamma 90.00
_space_group_name_H-M_alt 'P m m a'
_space_group_IT_number 51
_space_group_name_Hall '-P 2a 2a'
loop_
_atom_site_label
_atom_site_fract_x
_atom_site_fract_y
_atom_site_fract_z
Y1 0.250 0.000 0.245
Ni1 0.000 0.500 0.500
Au1 0.250 0.500 0.860
```

Output
* electronic total energy: -34.50 eV for the cell shown

[3]
Entry from the Alexandria database: crystalline SrTlGe3 at its relaxed geometry (PBE).

Geometry as CIF:
```
data_SrTlGe3
_chemical_formula_sum 'Sr1 Tl1 Ge3'
_cell_length_a 5.410
_cell_length_b 5.410
_cell_length_c 5.410
_cell_angle_alpha 90.00
_cell_angle_beta 90.00
_cell_angle_gamma 90.00
_space_group_name_H-M_alt 'P m -3 m'
_space_group_IT_number 221
_space_group_name_Hall '-P 4 2 3'
loop_
_atom_site_label
_atom_site_fract_x
_atom_site_fract_y
_atom_site_fract_z
Sr1 0.000 0.000 0.000
Tl1 0.500 0.500 0.500
Ge1 0.000 0.500 0.500
```

Output
* electronic total energy: -15.65 eV for the cell shown
* energy relative to the lowest polymorph listed for this composition: 0.00 eV/f.u.

[4]
Entry from the Alexandria database: crystalline AcTiS at its relaxed geometry (PBE).

Geometry as CIF:
```
data_AcTiS
_chemical_formula_sum 'Ac4 Ti4 S4'
_cell_length_a 4.034
_cell_length_b 4.700
_cell_length_c 15.927
_cell_angle_alpha 90.00
_cell_angle_beta 90.00
_cell_angle_gamma 90.00
_space_group_name_H-M_alt 'I m m m'
_space_group_IT_number 71
_space_group_name_Hall '-I 2 2'
loop_
_atom_site_label
_atom_site_fract_x
_atom_site_fract_y
_atom_site_fract_z
Ac1 0.000 0.000 0.158
Ti1 0.000 0.246 0.500
S1 0.000 0.000 0.352
```

Output
* electronic total energy: -74.53 eV for the cell shown

[5]
Entry from the Alexandria database: crystalline In2CoSe at its relaxed geometry (PBE).

Geometry as CIF:
```
data_In2CoSe
_chemical_formula_sum 'In2 Co1 Se1'
_cell_length_a 3.126
_cell_length_b 3.126
_cell_length_c 8.468
_cell_angle_alpha 90.00
_cell_angle_beta 90.00
_cell_angle_gamma 90.00
_space_group_name_H-M_alt 'P 4 m m'
_space_group_IT_number 99
_space_group_name_Hall 'P 4 -2'
loop_
_atom_site_label
_atom_site_fract_x
_atom_site_fract_y
_atom_site_fract_z
In1 0.000 0.000 0.000
In2 0.500 0.500 0.300
Co1 0.500 0.500 0.763
Se1 0.000 0.000 0.644
```

Output
* electronic total energy: -15.91 eV for the cell shown

[6]
Entry from the Alexandria database: crystalline PrSm2Te at its relaxed geometry (PBE).

Geometry as CIF:
```
data_PrSm2Te
_chemical_formula_sum 'Pr4 Sm8 Te4'
_cell_length_a 4.066
_cell_length_b 12.359
_cell_length_c 10.170
_cell_angle_alpha 90.00
_cell_angle_beta 90.00
_cell_angle_gamma 90.00
_space_group_name_H-M_alt 'C m c m'
_space_group_IT_number 63
_space_group_name_Hall '-C 2c 2'
loop_
_atom_site_label
_atom_site_fract_x
_atom_site_fract_y
_atom_site_fract_z
Pr1 0.000 0.057 0.250
Sm1 0.000 0.364 0.036
Te1 0.000 0.231 0.750
```

Output
* electronic total energy: -80.43 eV for the cell shown
* energy relative to the lowest polymorph listed for this composition: 0.00 eV/f.u.

Which formula does entry 1 have?
Cr2InCo2